ZrV2F11 GGA+U relaxed; symmetry = No. 72; crystal system = orthorhombic; energy = -171.03 eV for the cell shown
1.0
6.496 0.000 3.386
2.930 6.938 2.304
0.026 0.030 7.876
Zr V F
2 4 22
Direct
0.750 0.750 0.750
0.250 0.250 0.250
0.640 0.680 0.320
0.360 0.320 0.680
0.860 0.180 0.820
0.140 0.820 0.180
0.637 0.704 0.568
0.363 0.296 0.432
0.092 0.568 0.704
0.863 0.932 0.796
0.908 0.432 0.296
0.137 0.068 0.204
0.408 0.796 0.932
0.592 0.204 0.068
0.500 0.500 0.500
0.000 0.000 0.000
0.863 0.781 0.219
0.137 0.219 0.781
0.637 0.281 0.719
0.363 0.719 0.281
0.450 0.961 0.328
0.550 0.039 0.672
0.261 0.328 0.961
0.050 0.172 0.539
0.739 0.672 0.039
0.950 0.828 0.461
0.239 0.539 0.172
0.761 0.461 0.828